No. 1
Computed, not measured: crystalline Tb3Pm2Pr4 at its relaxed geometry at the PBE-GGA level of DFT.

The calculation puts the density of states at the Fermi level at 17.1 states/eV per cell. Its offset from the most stable computed form is 0.39 eV per formula unit. Its formation energy is 58 meV per atom. The calculation puts the theoretical density at 7.03 g cm⁻³.

The space group is P3m1 (No. 156) and the conventional cell measures 3.6511, 3.6511 and 27.2350 Å, with angles of 90.00, 90.00 and 120.00 degrees. Symmetry generates all atoms from Tb at (0.0000, 0.0000, 0.0000), Tb at (0.0000, 0.0000, 0.3404), Tb at (0.6667, 0.3333, 0.6721), Pm at (0.6667, 0.3333, 0.1038), Pm at (0.6667, 0.3333, 0.8925), Pr at (0.0000, 0.0000, 0.5640), Pr at (0.0000, 0.0000, 0.7808), Pr at (0.6667, 0.3333, 0.2349) and Pr at (0.6667, 0.3333, 0.4496).

***

No. 2
Computed, not measured: crystalline Tb6PmPr6 at its relaxed geometry at the PBE-GGA level of DFT.

The calculation puts the density of states at the Fermi level at 26.5 states/eV per cell. Its formation energy is 252 meV per atom. The calculation puts the theoretical density at 7.04 g cm⁻³.

The space group is P6/mmm (No. 191) and the conventional cell measures 6.7707, 6.7707 and 11.5519 Å, with angles of 90.00, 90.00 and 120.00 degrees. Symmetry generates all atoms from Tb at (0.0000, 0.5000, 0.2488), Pm at (0.0000, 0.0000, 0.0000), Pr at (0.0000, 0.0000, 0.3480), Pr at (0.3333, 0.6667, 0.0000) and Pr at (0.3333, 0.6667, 0.5000).

***

No. 3
Computed, not measured: crystalline Tb8Pm2Pr3 at its relaxed geometry at the PBE-GGA level of DFT.

The calculation puts the density of states at the Fermi level at 45.9 states/eV per cell. Its offset from the most stable computed form is 2.93 eV per formula unit. Its formation energy is 243 meV per atom. The calculation puts the theoretical density at 7.30 g cm⁻³.

The space group is C2/m (No. 12) and the conventional cell measures 20.5016, 7.7343 and 5.6906 Å, with angles of 90.00, 90.04 and 90.00 degrees. Symmetry generates all atoms from Tb at (0.1080, 0.2094, 0.0002), Tb at (0.1342, 0.5000, 0.4995), Tb at (0.1688, 0.0000, 0.5009), Pm at (0.2420, 0.5000, 0.9987), Pr at (0.0000, 0.2075, 0.5000) and Pr at (0.0000, 0.5000, 0.0000).

***

No. 4
Computed, not measured: crystalline Tb2Pm5Pr2 at its relaxed geometry at the PBE-GGA level of DFT.

The calculation puts the density of states at the Fermi level at 54.4 states/eV per cell. Its offset from the most stable computed form is 1.45 eV per formula unit. Its formation energy is 196 meV per atom. The calculation puts the theoretical density at 7.07 g cm⁻³.

The space group is Ima2 (No. 46) and the conventional cell measures 15.0603, 12.0245 and 6.8745 Å, with angles of 90.00, 90.00 and 90.00 degrees. Symmetry generates all atoms from Tb at (0.0000, 0.0000, 0.0000), Tb at (0.2500, 0.0078, 0.9306), Pm at (0.0529, 0.7498, 0.3207), Pm at (0.1431, 0.2343, 0.1483), Pm at (0.2500, 0.7410, 0.1199) and Pr at (0.1262, 0.0029, 0.4686).

***

No. 5
Computed, not measured: crystalline TbPm3Pr7 at its relaxed geometry at the PBE-GGA level of DFT.

The calculation puts the density of states at the Fermi level at 32.2 states/eV per cell. Its offset from the most stable computed form is 0.00 eV per formula unit. Its formation energy is 217 meV per atom. The calculation puts the theoretical density at 6.57 g cm⁻³.

The space group is C2/m (No. 12) and the conventional cell measures 13.0075, 11.4986 and 6.0253 Å, with angles of 90.00, 117.52 and 90.00 degrees. Symmetry generates all atoms from Tb at (0.0000, 0.0000, 0.0000), Pm at (0.0000, 0.2927, 0.5000), Pm at (0.0000, 0.5000, 0.0000), Pr at (0.0000, 0.0000, 0.5000), Pr at (0.1962, 0.2936, 0.1965) and Pr at (0.2095, 0.5000, 0.7099).

***

No. 6
Computed, not measured: crystalline TbPm8Pr6 at its relaxed geometry at the PBE-GGA level of DFT.

The calculation puts the density of states at the Fermi level at 66.3 states/eV per cell. Its offset from the most stable computed form is 0.00 eV per formula unit. Its formation energy is 109 meV per atom. The calculation puts the theoretical density at 6.78 g cm⁻³.

The space group is R-3 (No. 148, hexagonal axes) and the conventional cell measures 9.3189, 9.3189 and 21.1609 Å, with angles of 90.00, 90.00 and 120.00 degrees. Symmetry generates all atoms from Tb at (0.0000, 0.0000, 0.0000), Pm at (0.0000, 0.0000, 0.4228), Pm at (0.0804, 0.5578, 0.8066) and Pr at (0.0545, 0.2474, 0.7085).